Computed, not measured: a relaxed K2AlNiF6 crystal at the PBE with a Hubbard U level of DFT.

Calculated values
Total DFT energy (no corrections)   -95.7 eV/cell

Lattice parameters (Å, degrees): 5.559 5.559 9.052 90.00 90.00 90.00
Each line ends with the local moment (μB).
Positions (direct):
K1 0.500 0.750 0.250  0.00
K2 0.000 0.250 0.750  0.00
K3 0.500 0.750 0.750  0.00
K4 0.000 0.250 0.250  0.00
Al1 0.500 0.250 0.500  0.00
Al2 0.000 0.750 0.000  0.00
Ni1 0.000 0.750 0.500  0.99
Ni2 0.500 0.250 0.000  0.99
F1 0.500 0.250 0.299  0.00
F2 0.500 0.250 0.701  0.00
F3 0.000 0.750 0.201  0.00
F4 0.000 0.750 0.799  0.00
F5 0.266 0.016 0.500  0.01
F6 0.734 0.016 0.500  0.01
F7 0.266 0.484 0.500  0.01
F8 0.734 0.484 0.500  0.01
F9 0.766 0.516 0.000  0.01
F10 0.234 0.516 0.000  0.01
F11 0.234 0.984 0.000  0.01
F12 0.766 0.984 0.000  0.01